1.
First-principles (PBE) data for a relaxed CoSi2Se crystal, as listed in the Alexandria database.

Computed properties:
Symmetry   P4/mmm, No. 123
Uncorrected formation energy   13.4 kJ/mol of atoms
Raw total energy   -5.220 eV per atom

Cell and atoms, written as CIF:
```
data_CoSi2Se
_space_group_name_H-M_alt 'P 1'
_space_group_IT_number 1
_space_group_name_Hall 'P 1'
_cell_length_a 2.6673
_cell_length_b 2.6673
_cell_length_c 8.7968
_cell_angle_alpha 90.00
_cell_angle_beta 90.00
_cell_angle_gamma 90.00
loop_
_atom_site_label
_atom_site_type_symbol
_atom_site_fract_x
_atom_site_fract_y
_atom_site_fract_z
Co1 Co 0.0000 0.0000 0.0000
Si1 Si 0.5000 0.5000 0.1731
Si2 Si 0.5000 0.5000 0.8269
Se1 Se 0.0000 0.0000 0.5000
```


2.
First-principles (PBE) data for a relaxed K8Br3O2 crystal, as listed in the Alexandria database.

Computed properties:
Symmetry   C2/m, No. 12
Uncorrected formation energy   -114.7 kJ/mol of atoms
Raw total energy   -3.013 eV per atom

Cell and atoms, written as CIF:
```
data_K8Br3O2
_space_group_name_H-M_alt 'P 1'
_space_group_IT_number 1
_space_group_name_Hall 'P 1'
_cell_length_a 9.0955
_cell_length_b 9.0955
_cell_length_c 7.6262
_cell_angle_alpha 107.86
_cell_angle_beta 107.86
_cell_angle_gamma 52.62
loop_
_atom_site_label
_atom_site_type_symbol
_atom_site_fract_x
_atom_site_fract_y
_atom_site_fract_z
K1 K 0.1114 0.5894 0.0827
K2 K 0.1176 0.1176 0.3002
K3 K 0.3522 0.3522 0.4884
K4 K 0.4106 0.8886 0.9173
K5 K 0.5894 0.1114 0.0827
K6 K 0.6478 0.6478 0.5116
K7 K 0.8824 0.8824 0.6998
K8 K 0.8886 0.4106 0.9173
Br1 Br 0.2298 0.7702 0.5000
Br2 Br 0.5000 0.5000 0.0000
Br3 Br 0.7702 0.2298 0.5000
O1 O 0.2360 0.2360 0.1409
O2 O 0.7640 0.7640 0.8591
```


3.
First-principles (PBE) data for a relaxed AcGePb crystal, as listed in the Alexandria database.

Computed properties:
Distance to the lowest polymorph of the same formula   0.219 eV per atom
Symmetry   F-43m, No. 216
Raw total energy   -4.436 eV per atom

Cell and atoms, written as CIF:
```
data_AcGePb
_space_group_name_H-M_alt 'P 1'
_space_group_IT_number 1
_space_group_name_Hall 'P 1'
_cell_length_a 5.2473
_cell_length_b 5.2473
_cell_length_c 5.2473
_cell_angle_alpha 60.00
_cell_angle_beta 60.00
_cell_angle_gamma 60.00
loop_
_atom_site_label
_atom_site_type_symbol
_atom_site_fract_x
_atom_site_fract_y
_atom_site_fract_z
Ac1 Ac 0.0000 0.0000 0.0000
Ge1 Ge 0.2500 0.2500 0.2500
Pb1 Pb 0.5000 0.5000 0.5000
```


4.
First-principles (PBE) data for a relaxed Fe4NiH3 crystal, as listed in the Alexandria database.

Computed properties:
Symmetry   Cc, No. 9
Raw total energy   -6.214 eV per atom

Cell and atoms, written as CIF:
```
data_Fe4NiH3
_space_group_name_H-M_alt 'P 1'
_space_group_IT_number 1
_space_group_name_Hall 'P 1'
_cell_length_a 4.9775
_cell_length_b 4.9775
_cell_length_c 6.7658
_cell_angle_alpha 110.07
_cell_angle_beta 110.07
_cell_angle_gamma 53.74
loop_
_atom_site_label
_atom_site_type_symbol
_atom_site_fract_x
_atom_site_fract_y
_atom_site_fract_z
Fe1 Fe 0.0377 0.3704 0.4012
Fe2 Fe 0.1621 0.8379 0.5000
Fe3 Fe 0.2205 0.5566 0.7966
Fe4 Fe 0.3704 0.0377 0.9012
Fe5 Fe 0.4336 0.7694 0.2019
Fe6 Fe 0.5566 0.2205 0.2966
Fe7 Fe 0.7694 0.4336 0.7019
Fe8 Fe 0.8379 0.1621 0.0000
Ni1 Ni 0.6313 0.9644 0.6018
Ni2 Ni 0.9644 0.6313 0.1018
H1 H 0.0007 0.0046 0.2520
H2 H 0.0046 0.0007 0.7520
H3 H 0.3962 0.3989 0.5521
H4 H 0.3989 0.3962 0.0521
H5 H 0.6024 0.6027 0.9475
H6 H 0.6027 0.6024 0.4475
```


5.
First-principles (PBE) data for a relaxed RuWAu crystal, as listed in the Alexandria database.

Computed properties:
Distance to the lowest polymorph of the same formula   0.193 eV per atom
Symmetry   Fmm2, No. 42
Raw total energy   -8.111 eV per atom

Cell and atoms, written as CIF:
```
data_RuWAu
_space_group_name_H-M_alt 'P 1'
_space_group_IT_number 1
_space_group_name_Hall 'P 1'
_cell_length_a 7.3100
_cell_length_b 7.1177
_cell_length_c 2.7544
_cell_angle_alpha 82.95
_cell_angle_beta 75.09
_cell_angle_gamma 21.96
loop_
_atom_site_label
_atom_site_type_symbol
_atom_site_fract_x
_atom_site_fract_y
_atom_site_fract_z
Ru1 Ru 0.0000 0.0000 0.0000
W1 W 0.3517 0.3517 0.6483
Au1 Au 0.6761 0.6761 0.3239
```


6.
First-principles (PBE) data for a relaxed Nd4AgSn crystal, as listed in the Alexandria database.

Computed properties:
Symmetry   Cmcm, No. 63
Raw total energy   -4.518 eV per atom

Cell and atoms, written as CIF:
```
data_Nd4AgSn
_space_group_name_H-M_alt 'P 1'
_space_group_IT_number 1
_space_group_name_Hall 'P 1'
_cell_length_a 11.0912
_cell_length_b 11.0912
_cell_length_c 6.5804
_cell_angle_alpha 90.00
_cell_angle_beta 90.00
_cell_angle_gamma 150.56
loop_
_atom_site_label
_atom_site_type_symbol
_atom_site_fract_x
_atom_site_fract_y
_atom_site_fract_z
Nd1 Nd 0.0586 0.9414 0.7500
Nd2 Nd 0.2092 0.7908 0.5076
Nd3 Nd 0.2092 0.7908 0.9924
Nd4 Nd 0.3808 0.6192 0.7500
Nd5 Nd 0.6192 0.3808 0.2500
Nd6 Nd 0.7908 0.2092 0.0076
Nd7 Nd 0.7908 0.2092 0.4924
Nd8 Nd 0.9414 0.0586 0.2500
Ag1 Ag 0.0803 0.9197 0.2500
Ag2 Ag 0.9197 0.0803 0.7500
Sn1 Sn 0.3484 0.6516 0.2500
Sn2 Sn 0.6516 0.3484 0.7500
```